(1)
# K3Mn5H12 PBE-GGA relaxed
# E = -4.29 eV per atom
# N(E_F) = 8.362 states/eV/f.u.
data_K3Mn5H12
_chemical_formula_sum 'K12 Mn20 H48'
_space_group_name_H-M_alt 'P 1'
_space_group_IT_number 1
_space_group_name_Hall 'P 1'
_cell_length_a 10.465
_cell_length_b 10.465
_cell_length_c 10.465
_cell_angle_alpha 109.47
_cell_angle_beta 109.47
_cell_angle_gamma 109.47
loop_
_atom_site_label
_atom_site_type_symbol
_atom_site_fract_x
_atom_site_fract_y
_atom_site_fract_z
_atom_site_occupancy
K1 K 0.125 0.250 0.375 1
K2 K 0.125 0.375 0.750 1
K3 K 0.250 0.375 0.125 1
K4 K 0.250 0.875 0.625 1
K5 K 0.375 0.125 0.250 1
K6 K 0.375 0.750 0.125 1
K7 K 0.625 0.250 0.875 1
K8 K 0.625 0.875 0.750 1
K9 K 0.750 0.125 0.375 1
K10 K 0.750 0.625 0.875 1
K11 K 0.875 0.625 0.250 1
K12 K 0.875 0.750 0.625 1
Mn1 Mn 0.000 0.000 0.000 1
Mn2 Mn 0.000 0.000 0.500 1
Mn3 Mn 0.000 0.500 0.000 1
Mn4 Mn 0.000 0.500 0.500 1
Mn5 Mn 0.125 0.750 0.875 1
Mn6 Mn 0.125 0.875 0.250 1
Mn7 Mn 0.250 0.125 0.875 1
Mn8 Mn 0.250 0.625 0.375 1
Mn9 Mn 0.375 0.250 0.625 1
Mn10 Mn 0.375 0.625 0.750 1
Mn11 Mn 0.500 0.000 0.000 1
Mn12 Mn 0.500 0.000 0.500 1
Mn13 Mn 0.500 0.500 0.000 1
Mn14 Mn 0.500 0.500 0.500 1
Mn15 Mn 0.625 0.375 0.250 1
Mn16 Mn 0.625 0.750 0.375 1
Mn17 Mn 0.750 0.375 0.625 1
Mn18 Mn 0.750 0.875 0.125 1
Mn19 Mn 0.875 0.125 0.750 1
Mn20 Mn 0.875 0.250 0.125 1
H1 H 0.000 0.169 0.093 1
H2 H 0.000 0.331 0.907 1
H3 H 0.000 0.669 0.093 1
H4 H 0.000 0.831 0.907 1
H5 H 0.076 0.669 0.669 1
H6 H 0.076 0.907 0.407 1
H7 H 0.093 0.000 0.169 1
H8 H 0.093 0.000 0.669 1
H9 H 0.093 0.593 0.424 1
H10 H 0.093 0.593 0.924 1
H11 H 0.169 0.093 0.000 1
H12 H 0.169 0.169 0.576 1
H13 H 0.169 0.500 0.593 1
H14 H 0.169 0.576 0.169 1
H15 H 0.331 0.331 0.924 1
H16 H 0.331 0.500 0.407 1
H17 H 0.331 0.907 0.000 1
H18 H 0.331 0.924 0.331 1
H19 H 0.407 0.076 0.907 1
H20 H 0.407 0.331 0.500 1
H21 H 0.407 0.576 0.907 1
H22 H 0.407 0.831 0.500 1
H23 H 0.424 0.093 0.593 1
H24 H 0.424 0.831 0.831 1
H25 H 0.500 0.407 0.331 1
H26 H 0.500 0.407 0.831 1
H27 H 0.500 0.593 0.169 1
H28 H 0.500 0.593 0.669 1
H29 H 0.576 0.169 0.169 1
H30 H 0.576 0.907 0.407 1
H31 H 0.593 0.169 0.500 1
H32 H 0.593 0.424 0.093 1
H33 H 0.593 0.669 0.500 1
H34 H 0.593 0.924 0.093 1
H35 H 0.669 0.076 0.669 1
H36 H 0.669 0.093 0.000 1
H37 H 0.669 0.500 0.593 1
H38 H 0.669 0.669 0.076 1
H39 H 0.831 0.424 0.831 1
H40 H 0.831 0.500 0.407 1
H41 H 0.831 0.831 0.424 1
H42 H 0.831 0.907 0.000 1
H43 H 0.907 0.000 0.331 1
H44 H 0.907 0.000 0.831 1
H45 H 0.907 0.407 0.076 1
H46 H 0.907 0.407 0.576 1
H47 H 0.924 0.093 0.593 1
H48 H 0.924 0.331 0.331 1

---

(2)
# Sc2BeMo PBE-GGA relaxed
# E = -6.62 eV per atom
# N(E_F) = 3.428 states/eV/f.u.
# E_form = 0.1819 eV/atom
data_Sc2BeMo
_chemical_formula_sum 'Sc2 Be1 Mo1'
_space_group_name_H-M_alt 'P 1'
_space_group_IT_number 1
_space_group_name_Hall 'P 1'
_cell_length_a 3.029
_cell_length_b 4.463
_cell_length_c 5.533
_cell_angle_alpha 90.00
_cell_angle_beta 105.79
_cell_angle_gamma 90.00
loop_
_atom_site_label
_atom_site_type_symbol
_atom_site_fract_x
_atom_site_fract_y
_atom_site_fract_z
_atom_site_occupancy
Sc1 Sc 0.000 0.000 0.000 1
Sc2 Sc 0.319 0.500 0.639 1
Be1 Be 0.601 0.500 0.201 1
Mo1 Mo 0.723 0.000 0.446 1

---

(3)
# BaP2IrO PBE-GGA relaxed
# Formation energy without anion corrections = 0.3363 eV/atom
# E = -4.98 eV per atom
# N(E_F) = 3.240 states/eV/f.u.
# Excess energy over the best structure of this formula in the dataset = 0.680 eV/atom
data_BaP2IrO
_chemical_formula_sum 'Ba1 P2 Ir1 O1'
_space_group_name_H-M_alt 'P 1'
_space_group_IT_number 1
_space_group_name_Hall 'P 1'
_cell_length_a 4.317
_cell_length_b 4.317
_cell_length_c 5.028
_cell_angle_alpha 90.00
_cell_angle_beta 90.00
_cell_angle_gamma 90.00
loop_
_atom_site_label
_atom_site_type_symbol
_atom_site_fract_x
_atom_site_fract_y
_atom_site_fract_z
_atom_site_occupancy
Ba1 Ba 0.000 0.000 0.000 1
P1 P 0.000 0.500 0.500 1
P2 P 0.500 0.000 0.500 1
Ir1 Ir 0.500 0.500 0.000 1
O1 O 0.000 0.000 0.500 1

---

(4)
# TcNi2P PBE-GGA relaxed
# E = -6.95 eV per atom
# N(E_F) = 4.205 states/eV/f.u.
# E_form = -0.1118 eV/atom
data_TcNi2P
_chemical_formula_sum 'Tc1 Ni2 P1'
_space_group_name_H-M_alt 'P 1'
_space_group_IT_number 1
_space_group_name_Hall 'P 1'
_cell_length_a 3.173
_cell_length_b 3.788
_cell_length_c 3.960
_cell_angle_alpha 90.00
_cell_angle_beta 90.00
_cell_angle_gamma 90.00
loop_
_atom_site_label
_atom_site_type_symbol
_atom_site_fract_x
_atom_site_fract_y
_atom_site_fract_z
_atom_site_occupancy
Tc1 Tc 0.000 0.000 0.000 1
Ni1 Ni 0.000 0.500 0.500 1
Ni2 Ni 0.500 0.000 0.500 1
P1 P 0.500 0.500 0.000 1

---

(5)
# Pr6Nd5Dy PBE-GGA relaxed
# E = -4.75 eV per atom
# N(E_F) = 18.658 states/eV/f.u.
# E_form = 0.0123 eV/atom
data_Pr6Nd5Dy
_chemical_formula_sum 'Pr6 Nd5 Dy1'
_space_group_name_H-M_alt 'P 1'
_space_group_IT_number 1
_space_group_name_Hall 'P 1'
_cell_length_a 6.393
_cell_length_b 6.393
_cell_length_c 12.211
_cell_angle_alpha 95.04
_cell_angle_beta 95.04
_cell_angle_gamma 120.01
loop_
_atom_site_label
_atom_site_type_symbol
_atom_site_fract_x
_atom_site_fract_y
_atom_site_fract_z
_atom_site_occupancy
Pr1 Pr 0.083 0.415 0.749 1
Pr2 Pr 0.249 0.249 0.251 1
Pr3 Pr 0.415 0.083 0.749 1
Pr4 Pr 0.585 0.917 0.251 1
Pr5 Pr 0.751 0.751 0.749 1
Pr6 Pr 0.917 0.585 0.251 1
Nd1 Nd 0.167 0.833 0.000 1
Nd2 Nd 0.333 0.667 0.500 1
Nd3 Nd 0.500 0.500 0.000 1
Nd4 Nd 0.667 0.333 0.500 1
Nd5 Nd 0.833 0.167 0.000 1
Dy1 Dy 0.000 0.000 0.500 1

---

(6)
# Sr2MgOsC PBE-GGA relaxed
# E = -4.92 eV per atom
# N(E_F) = 3.868 states/eV/f.u.
# E_form = 0.1605 eV/atom
# Excess energy over the best structure of this formula in the dataset = 0.000 eV/atom
data_Sr2MgOsC
_chemical_formula_sum 'Sr2 Mg1 Os1 C1'
_space_group_name_H-M_alt 'P 1'
_space_group_IT_number 1
_space_group_name_Hall 'P 1'
_cell_length_a 5.557
_cell_length_b 5.557
_cell_length_c 3.951
_cell_angle_alpha 90.00
_cell_angle_beta 90.00
_cell_angle_gamma 90.00
loop_
_atom_site_label
_atom_site_type_symbol
_atom_site_fract_x
_atom_site_fract_y
_atom_site_fract_z
_atom_site_occupancy
Sr1 Sr 0.000 0.500 0.000 1
Sr2 Sr 0.500 0.000 0.000 1
Mg1 Mg 0.000 0.000 0.500 1
Os1 Os 0.500 0.500 0.500 1
C1 C 0.500 0.500 0.000 1